CdHgCl3 | Alexandria via LeMat-Bulk | PBE | relaxed; symmetry = Pm-3m, No. 221
1.0
-4.934 -0.459 -1.816
1.861 -1.786 -4.604
-0.214 -4.945 1.831
Cd Hg Cl
1 1 3
direct
0.500 0.500 0.500
0.000 0.000 0.000
0.000 0.500 0.000
0.000 0.000 0.500
0.500 0.000 0.000

***

CdHg2Cl | Alexandria via LeMat-Bulk | PBE | relaxed; symmetry = Cmmm, No. 65
1.0
4.364 0.000 0.000
0.000 5.284 -0.045
0.000 1.898 4.933
Cd Hg Cl
1 2 1
direct
0.500 0.250 0.250
0.000 0.021 0.021
0.000 0.479 0.479
0.500 0.750 0.750

***

Cd2HgCl | Alexandria via LeMat-Bulk | PBE | relaxed; symmetry = F-43m, No. 216
1.0
5.286 0.000 0.000
2.643 4.578 0.000
2.643 1.526 4.316
Hg Cd Cl
1 2 1
direct
0.750 0.750 0.750
0.000 0.000 0.000
0.250 0.250 0.250
0.500 0.500 0.500

***

CdHgCl2 | Alexandria via LeMat-Bulk | PBE | relaxed; symmetry = Immm, No. 71
1.0
-2.360 5.995 -1.050
-0.216 0.654 -6.492
-2.358 -3.017 5.288
Cd Cl Hg
1 2 1
direct
0.250 0.750 0.500
0.080 0.080 0.000
0.420 0.420 0.000
0.750 0.250 0.500

***

How do the records compare in excess energy over the best structure of this formula in the dataset? In the order shown, they have 367, 50, 191, 116 meV per atom.
How do the records compare in formation energy without anion corrections? In the order shown, they have -302, -250, -94, -678 meV/atom.